Record 1
# ZrBe2 GGA-PBEsol relaxed
data_ZrBe2
_cell_length_a 3.5453
_cell_length_b 3.5453
_cell_length_c 12.7779
_cell_angle_alpha 90.00
_cell_angle_beta 90.00
_cell_angle_gamma 90.00
_space_group_name_H-M_alt 'I 41/a m d'
_space_group_IT_number 141
loop_
_space_group_symop_operation_xyz
'x,y,z'
'-x,-y,-z'
'-y+1/4,x+3/4,z+1/4'
'y+1/4,-x+3/4,-z+1/4'
'-x+1/2,-y,z+1/2'
'x+1/2,y,-z+1/2'
'y+1/4,-x+1/4,z+3/4'
'-y+1/4,x+1/4,-z+3/4'
'x,-y,-z'
'-x,y,z'
'-y+1/4,-x+1/4,-z+3/4'
'y+1/4,x+1/4,z+3/4'
'-x+1/2,y,-z+1/2'
'x+1/2,-y,z+1/2'
'y+1/4,x+3/4,-z+1/4'
'-y+1/4,-x+3/4,z+1/4'
'x+1/2,y+1/2,z+1/2'
'-x+1/2,-y+1/2,-z+1/2'
'-y+3/4,x+1/4,z+3/4'
'y+3/4,-x+1/4,-z+3/4'
'-x,-y+1/2,z'
'x,y+1/2,-z'
'y+3/4,-x+3/4,z+1/4'
'-y+3/4,x+3/4,-z+1/4'
'x+1/2,-y+1/2,-z+1/2'
'-x+1/2,y+1/2,z+1/2'
'-y+3/4,-x+3/4,-z+1/4'
'y+3/4,x+3/4,z+1/4'
'-x,y+1/2,-z'
'x,-y+1/2,z'
'y+3/4,x+1/4,-z+3/4'
'-y+3/4,-x+1/4,z+3/4'
loop_
_atom_site_label
_atom_site_type_symbol
_atom_site_fract_x
_atom_site_fract_y
_atom_site_fract_z
_atom_site_occupancy
Zr1 Zr 0.0000 0.2500 0.3750 1
Be1 Be 0.0000 0.2500 0.7922 1
# Magnetic moment = 0.000 μB/f.u.
# Formation enthalpy at 0 K = -108.5 meV per atom

---

Record 2
# Zr2Be GGA-PBEsol relaxed
data_Zr2Be
_cell_length_a 6.9551
_cell_length_b 6.9551
_cell_length_c 3.7884
_cell_angle_alpha 90.00
_cell_angle_beta 90.00
_cell_angle_gamma 120.00
_space_group_name_H-M_alt 'P -6 2 m'
_space_group_IT_number 189
_space_group_name_Hall 'P -6 -2'
loop_
_atom_site_label
_atom_site_type_symbol
_atom_site_fract_x
_atom_site_fract_y
_atom_site_fract_z
_atom_site_occupancy
Zr1 Zr 0.0000 0.2598 0.0000 1
Zr2 Zr 0.0000 0.5917 0.5000 1
Be1 Be 0.0000 0.0000 0.5000 1
Be2 Be 0.3333 0.6667 0.0000 1
# Magnetic moment = 0.000 μB/f.u.
# Formation enthalpy at 0 K = -5.8 meV per atom

---

Record 3
# ZrBe5 GGA-PBEsol relaxed
data_ZrBe5
_cell_length_a 4.5344
_cell_length_b 4.5344
_cell_length_c 3.4427
_cell_angle_alpha 90.00
_cell_angle_beta 90.00
_cell_angle_gamma 120.00
_space_group_name_H-M_alt 'P 6/m m m'
_space_group_IT_number 191
_space_group_name_Hall '-P 6 2'
loop_
_atom_site_label
_atom_site_type_symbol
_atom_site_fract_x
_atom_site_fract_y
_atom_site_fract_z
_atom_site_occupancy
Zr1 Zr 0.0000 0.0000 0.0000 1
Be1 Be 0.0000 0.5000 0.5000 1
Be2 Be 0.3333 0.6667 0.0000 1
# Magnetic moment = 0.000 μB/f.u.
# Formation enthalpy at 0 K = -240.1 meV per atom

---

Calculated density across the listed records, respectively: 4.5; 6.0; 3.7 g cm⁻³.